[1]
Material: K4Pr3ZnO8
Method: DFT, PBE-GGA
State: relaxed

Output
The value obtained for the energy relative to the elements, uncorrected is -33.98 eV/f.u. The crystal system is monoclinic.

abc: 7.2920 7.2920 7.4356
angles: 117.15 117.15 57.67
Element x y z (fractional)
K  0.0000  0.0000  0.0000
K  0.0000  0.5000  0.0000
K  0.5000  0.0000  0.0000
K  0.5000  0.5000  0.0000
Pr  0.0000  0.0000  0.5000
Pr  0.0000  0.5000  0.5000
Pr  0.5000  0.0000  0.5000
Zn  0.5000  0.5000  0.5000
O  0.2225  0.2225  0.6932
O  0.2318  0.2318  0.2711
O  0.2570  0.6973  0.6721
O  0.3027  0.7430  0.3279
O  0.6973  0.2570  0.6721
O  0.7430  0.3027  0.3279
O  0.7682  0.7682  0.7289
O  0.7775  0.7775  0.3068

[2]
Material: La6Pr2Tm3
Method: DFT, PBE-GGA
State: relaxed

Output
For the formation energy from the elements, the calculation gives 0.02 eV per atom. The crystal system is triclinic.

abc: 6.3308 8.1818 8.2061
angles: 107.48 97.20 104.60
Element x y z (fractional)
La  0.0450  0.1830  0.4119
La  0.2254  0.9056  0.0490
La  0.3146  0.2728  0.8615
La  0.6854  0.7272  0.1385
La  0.7746  0.0944  0.9510
La  0.9550  0.8170  0.5881
Pr  0.4102  0.6377  0.6810
Pr  0.5898  0.3623  0.3190
Tm  0.1373  0.5463  0.2269
Tm  0.5000  0.0000  0.5000
Tm  0.8627  0.4537  0.7731

The records above yield magnetic moment values of 1.2; 0.0 μB per formula unit, respectively.